Record 1
# CrAuCl

A relaxed CrAuCl crystal (PBE, the Alexandria database).

Results
- calculated total energy (eV per atom) = -4.976
- E above lowest polymorph (kcal/mol of atoms) = 1.87
- raw formation energy (eV/atom) = -0.0604

a b c (Å): 6.970 6.725 3.188
angles (deg): 80.86 72.29 26.85
Last column: magnetic moment on the atom in μB.
Fractional positions:
Cr  0.325  0.325  0.675  3.61
Au  0.970  0.970  0.030  0.06
Cl  0.705  0.705  0.295  0.01

***

Record 2
# VSiB3

A relaxed VSiB3 crystal (PBE, the Alexandria database).

Results
- calculated total energy (eV per atom) = -5.501
- E above lowest polymorph (kcal/mol of atoms) = 0.00
- raw formation energy (eV/atom) = 1.4134

a b c (Å): 4.000 4.000 4.000
angles (deg): 90.00 90.00 90.00
Fractional positions:
Si  0.500  0.500  0.500
B  0.000  0.500  0.000
B  0.000  0.000  0.500
B  0.500  0.000  0.000
V  0.000  0.000  0.000

***

Record 3
# Li2NdAg2

A relaxed Li2NdAg2 crystal (PBE, the Alexandria database).

Results
- calculated total energy (eV per atom) = -3.052
- formation energy (eV/f.u.) = -0.96
- E above lowest polymorph (kcal/mol of atoms) = 0.08

a b c (Å): 4.051 4.051 7.197
angles (deg): 106.35 106.35 90.00
Fractional positions:
Li  0.750  0.250  0.500
Li  0.250  0.750  0.500
Nd  0.000  0.000  0.000
Ag  0.609  0.609  0.217
Ag  0.391  0.391  0.783

***

Record 4
# BaCeMnN3

A relaxed BaCeMnN3 crystal (PBE, the Alexandria database).

Results
- calculated total energy (eV per atom) = -7.859
- raw formation energy (eV/atom) = -0.8583

a b c (Å): 3.562 7.947 7.769
angles (deg): 102.35 90.00 90.00
Last column: magnetic moment on the atom in μB.
Fractional positions:
Ba  0.750  0.815  0.798  0.01
Ba  0.250  0.185  0.202  0.01
Ce  0.250  0.643  0.168  0.15
Ce  0.750  0.357  0.832  0.15
Mn  0.250  0.080  0.593  1.46
Mn  0.750  0.920  0.407  1.46
N  0.250  0.851  0.469  -0.05
N  0.750  0.860  0.169  0.03
N  0.750  0.442  0.133  -0.01
N  0.750  0.149  0.531  -0.05
N  0.250  0.558  0.867  -0.01
N  0.250  0.140  0.831  0.03